4
Lattice="1.456 0.841 8.442 -1.456 0.841 8.442 0.000 -1.681 8.442" Properties=species:S:1:pos:R:3 comment="CoMo2Br, relaxed, DFT GGA-PBE" e_above_lowest_polymorph_mev_per_atom=212.5 total_energy_ev_per_atom=-6.9567 total_magnetization_mub_per_cell=0.822 raw_formation_energy_mev_per_atom=653 mass_density_g_cm3=8.9 pbc="T T T"
Co 0.000 0.000 0.000
Mo 0.000 0.000 6.433
Mo 0.000 0.000 18.894
Br 0.000 0.000 12.663